! ErHf2As4, optimized geometry, DFT GGA-PBE; values from VASP
! **Total moment**: 0.0000 μB per atom
! **Final energy**: -7.0403 eV per atom
! **Symmetry**: No. 63
&SYSTEM
  ibrav = 0, nat = 14, ntyp = 3
/
ATOMIC_SPECIES
As 74.92 As.upf
Hf 178.49 Hf.upf
Er 167.26 Er.upf
CELL_PARAMETERS angstrom
3.8396 0.0000 0.0000
-1.9198 6.3522 0.0000
0.0000 0.0000 12.9363
ATOMIC_POSITIONS crystal
As 0.9433 0.8867 0.7500
Hf 0.1345 0.2690 0.4397
As 0.5000 0.0000 0.5000
As 0.2332 0.4664 0.8732
As 0.2332 0.4664 0.6268
Er 0.6119 0.2237 0.7500
Hf 0.8655 0.7310 0.9397
Hf 0.8655 0.7310 0.5603
Hf 0.1345 0.2690 0.0603
As 0.5000 0.0000 0.0000
As 0.7668 0.5336 0.1268
Er 0.3881 0.7763 0.2500
As 0.0567 0.1133 0.2500
As 0.7668 0.5336 0.3732

! Er5HfAs6, optimized geometry, DFT GGA-PBE; values from VASP
! **Total moment**: 0.0000 μB per atom
! **Final energy**: -6.4910 eV per atom
! **Symmetry**: No. 12
&SYSTEM
  ibrav = 0, nat = 12, ntyp = 3
/
ATOMIC_SPECIES
Er 167.26 Er.upf
As 74.92 As.upf
Hf 178.49 Hf.upf
CELL_PARAMETERS angstrom
-1.5776 2.2700 6.4118
-4.8617 0.0533 -5.0114
0.3273 -6.8618 1.2375
ATOMIC_POSITIONS crystal
Er 0.1695 0.8305 0.5000
As 0.2414 0.2414 0.7543
Er 0.3343 0.6657 0.0000
Er 0.8305 0.1695 0.5000
Er 0.6657 0.3343 0.0000
As 0.0809 0.4052 0.2436
As 0.5948 0.9191 0.7564
As 0.7586 0.7586 0.2457
As 0.4052 0.0809 0.2436
As 0.9191 0.5948 0.7564
Hf 0.0000 0.0000 0.0000
Er 0.5000 0.5000 0.5000

! Ho2ErHfAs4, optimized geometry, DFT GGA-PBE; values from VASP
! **Total moment**: 0.0001 μB per atom
! **Final energy**: -6.6785 eV per atom
! **Symmetry**: No. 10
&SYSTEM
  ibrav = 0, nat = 8, ntyp = 4
/
ATOMIC_SPECIES
As 74.92 As.upf
Er 167.26 Er.upf
Ho 164.93 Ho.upf
Hf 178.49 Hf.upf
CELL_PARAMETERS angstrom
4.0118 0.0000 0.0000
0.0000 6.9538 0.1313
0.0000 -2.4200 6.5217
ATOMIC_POSITIONS crystal
As 0.5000 0.7611 0.7619
Er 0.5000 0.5000 0.0000
As 0.0000 0.7554 0.2430
Ho 0.0000 0.5000 0.5000
Hf 0.0000 0.0000 0.0000
Ho 0.5000 0.0000 0.5000
As 0.5000 0.2389 0.2381
As 0.0000 0.2446 0.7570

! La2ErHfAs4, optimized geometry, DFT GGA-PBE; values from VASP
! **Total moment**: 0.0000 μB per atom
! **Final energy**: -6.7809 eV per atom
! **Symmetry**: No. 10
&SYSTEM
  ibrav = 0, nat = 8, ntyp = 4
/
ATOMIC_SPECIES
La 138.91 La.upf
As 74.92 As.upf
Hf 178.49 Hf.upf
Er 167.26 Er.upf
CELL_PARAMETERS angstrom
-3.1082 -2.7232 0.1735
2.9540 -3.0019 5.8019
-4.4884 5.2548 2.0715
ATOMIC_POSITIONS crystal
La 0.0000 0.5000 0.5000
As 0.0000 0.2487 0.7731
La 0.5000 0.0000 0.5000
As 0.5000 0.7673 0.7779
As 0.0000 0.7513 0.2269
As 0.5000 0.2327 0.2221
Hf 0.0000 0.0000 0.0000
Er 0.5000 0.5000 0.0000

! LiEr2HfAs4, optimized geometry, DFT GGA-PBE; values from VASP
! **Total moment**: 0.0000 μB per atom
! **Final energy**: -5.9934 eV per atom
! **Symmetry**: No. 10
&SYSTEM
  ibrav = 0, nat = 8, ntyp = 4
/
ATOMIC_SPECIES
As 74.92 As.upf
Er 167.26 Er.upf
Hf 178.49 Hf.upf
Li 6.94 Li.upf
CELL_PARAMETERS angstrom
3.9568 0.0000 0.0000
0.0000 6.9939 0.1606
0.0000 -2.4042 6.3364
ATOMIC_POSITIONS crystal
As 0.5000 0.7578 0.7658
As 0.5000 0.2422 0.2342
As 0.0000 0.2484 0.7645
Er 0.0000 0.5000 0.5000
Hf 0.0000 0.0000 0.0000
As 0.0000 0.7516 0.2355
Er 0.5000 0.0000 0.5000
Li 0.5000 0.5000 0.0000

! Er2HfNpAs4, optimized geometry, DFT GGA-PBE; values from VASP
! **Total moment**: 0.4952 μB per atom
! **Final energy**: -7.4981 eV per atom
! **Symmetry**: No. 10
&SYSTEM
  ibrav = 0, nat = 8, ntyp = 4
/
ATOMIC_SPECIES
As 74.92 As.upf
Hf 178.49 Hf.upf
Np 237.00 Np.upf
Er 167.26 Er.upf
CELL_PARAMETERS angstrom
-2.2459 -0.1622 3.3185
4.7509 -4.0717 3.0163
1.5100 6.6631 1.3476
ATOMIC_POSITIONS crystal
As 0.0000 0.2431 0.7548
As 0.0000 0.7569 0.2452
As 0.5000 0.2389 0.2394
Hf 0.0000 0.0000 0.0000
Np 0.5000 0.5000 0.0000
Er 0.0000 0.5000 0.5000
As 0.5000 0.7611 0.7606
Er 0.5000 0.0000 0.5000

! ErHfNp2As4, optimized geometry, DFT GGA-PBE; values from VASP
! **Total moment**: 0.0143 μB per atom
! **Final energy**: -8.3390 eV per atom
! **Symmetry**: No. 10
&SYSTEM
  ibrav = 0, nat = 8, ntyp = 4
/
ATOMIC_SPECIES
Np 237.00 Np.upf
As 74.92 As.upf
Hf 178.49 Hf.upf
Er 167.26 Er.upf
CELL_PARAMETERS angstrom
4.0074 0.0000 0.0000
0.0000 6.9867 0.1370
0.0000 -2.4259 6.5279
ATOMIC_POSITIONS crystal
Np 0.5000 0.0000 0.5000
As 0.0000 0.2444 0.7582
Hf 0.0000 0.0000 0.0000
As 0.5000 0.7613 0.7629
Er 0.5000 0.5000 0.0000
As 0.5000 0.2387 0.2371
Np 0.0000 0.5000 0.5000
As 0.0000 0.7556 0.2418

! PmEr2HfAs4, optimized geometry, DFT GGA-PBE; values from VASP
! **Total moment**: 0.0000 μB per atom
! **Final energy**: -6.6731 eV per atom
! **Symmetry**: No. 10
&SYSTEM
  ibrav = 0, nat = 8, ntyp = 4
/
ATOMIC_SPECIES
Er 167.26 Er.upf
Hf 178.49 Hf.upf
As 74.92 As.upf
Pm 145.00 Pm.upf
CELL_PARAMETERS angstrom
4.0453 0.0000 0.0000
0.0000 7.0165 0.1371
0.0000 -2.4374 6.5636
ATOMIC_POSITIONS crystal
Er 0.0000 0.5000 0.5000
Hf 0.0000 0.0000 0.0000
As 0.5000 0.7647 0.7580
As 0.0000 0.2370 0.7494
Er 0.5000 0.0000 0.5000
As 0.0000 0.7630 0.2506
Pm 0.5000 0.5000 0.0000
As 0.5000 0.2353 0.2420

! Pr2ErHfAs4, optimized geometry, DFT GGA-PBE; values from VASP
! **Total moment**: 0.0000 μB per atom
! **Final energy**: -6.7056 eV per atom
! **Symmetry**: No. 10
&SYSTEM
  ibrav = 0, nat = 8, ntyp = 4
/
ATOMIC_SPECIES
As 74.92 As.upf
Pr 140.91 Pr.upf
Er 167.26 Er.upf
Hf 178.49 Hf.upf
CELL_PARAMETERS angstrom
4.1123 0.0000 0.0000
0.0000 7.1243 0.1325
0.0000 -2.4812 6.7075
ATOMIC_POSITIONS crystal
As 0.5000 0.7662 0.7756
Pr 0.0000 0.5000 0.5000
As 0.0000 0.2483 0.7708
Er 0.5000 0.5000 0.0000
As 0.5000 0.2338 0.2244
Hf 0.0000 0.0000 0.0000
Pr 0.5000 0.0000 0.5000
As 0.0000 0.7517 0.2292

! ErPu2HfAs4, optimized geometry, DFT GGA-PBE; values from VASP
! **Total moment**: 1.3038 μB per atom
! **Final energy**: -8.8880 eV per atom
! **Symmetry**: No. 10
&SYSTEM
  ibrav = 0, nat = 8, ntyp = 4
/
ATOMIC_SPECIES
Pu 244.00 Pu.upf
As 74.92 As.upf
Hf 178.49 Hf.upf
Er 167.26 Er.upf
CELL_PARAMETERS angstrom
4.0391 0.0000 0.0000
0.0000 7.0174 0.1314
0.0000 -2.4414 6.5383
ATOMIC_POSITIONS crystal
Pu 0.5000 0.0000 0.5000
As 0.0000 0.7564 0.2419
Hf 0.0000 0.0000 0.0000
As 0.5000 0.2370 0.2364
Pu 0.0000 0.5000 0.5000
Er 0.5000 0.5000 0.0000
As 0.0000 0.2436 0.7581
As 0.5000 0.7630 0.7636

! ErHfSc2As4, optimized geometry, DFT GGA-PBE; values from VASP
! **Total moment**: 0.0000 μB per atom
! **Final energy**: -7.0454 eV per atom
! **Symmetry**: No. 10
&SYSTEM
  ibrav = 0, nat = 8, ntyp = 4
/
ATOMIC_SPECIES
Sc 44.96 Sc.upf
As 74.92 As.upf
Er 167.26 Er.upf
Hf 178.49 Hf.upf
CELL_PARAMETERS angstrom
-3.3593 -0.4620 1.9538
-3.1415 -1.6249 -5.7855
2.4407 -5.6066 2.8707
ATOMIC_POSITIONS crystal
Sc 0.0000 0.5000 0.5000
Sc 0.5000 0.0000 0.5000
As 0.0000 0.2400 0.7425
Er 0.5000 0.5000 0.0000
As 0.0000 0.7600 0.2575
Hf 0.0000 0.0000 0.0000
As 0.5000 0.7565 0.7477
As 0.5000 0.2435 0.2523

! Sm2ErHfAs4, optimized geometry, DFT GGA-PBE; values from VASP
! **Total moment**: 0.0000 μB per atom
! **Final energy**: -6.7118 eV per atom
! **Symmetry**: No. 10
&SYSTEM
  ibrav = 0, nat = 8, ntyp = 4
/
ATOMIC_SPECIES
As 74.92 As.upf
Sm 150.36 Sm.upf
Hf 178.49 Hf.upf
Er 167.26 Er.upf
CELL_PARAMETERS angstrom
4.0683 0.0000 0.0000
0.0000 7.0488 0.1320
0.0000 -2.4540 6.6223
ATOMIC_POSITIONS crystal
As 0.0000 0.7532 0.2353
Sm 0.5000 0.0000 0.5000
Sm 0.0000 0.5000 0.5000
Hf 0.0000 0.0000 0.0000
As 0.0000 0.2468 0.7647
As 0.5000 0.2360 0.2304
As 0.5000 0.7640 0.7696
Er 0.5000 0.5000 0.0000